a | VASP calculation (PBE) on an optimized crystal structure of Ce5Bi.

Its space group is Cmmm (65). Its mass density is 9.1 g cm⁻³.

Cell lengths 7.868, 7.868, 4.713 Å; angles 90.00, 90.00, 145.28 degrees
Fractional coordinates of all 6 atoms:
Ce1 0.000 0.000 0.000
Ce2 0.168 0.832 0.500
Ce3 0.334 0.666 0.000
Ce4 0.666 0.334 0.000
Ce5 0.832 0.168 0.500
Bi1 0.500 0.500 0.500


b | VASP calculation (PBE) on an optimized crystal structure of Ce5Bi.

Its space group is C2/m (12). Its mass density is 9.3 g cm⁻³.

Cell lengths 5.471, 5.471, 6.426 Å; angles 96.67, 96.67, 57.93 degrees
Fractional coordinates of all 6 atoms:
Ce1 0.000 0.000 0.000
Ce2 0.299 0.299 0.233
Ce3 0.349 0.349 0.824
Ce4 0.651 0.651 0.176
Ce5 0.701 0.701 0.767
Bi1 0.000 0.000 0.500


Preferred: a; penalty for the next structure: 0.073 eV/atom.


a | VASP calculation (PBE) on an optimized crystal structure of Ce4Bi3.

Its space group is R-3 (148). Its mass density is 8.7 g cm⁻³.

Cell lengths 8.409, 8.409, 8.409 Å; angles 109.84, 109.84, 109.84 degrees
Fractional coordinates of all 14 atoms:
Ce1 0.000 0.000 0.000
Ce2 0.140 0.653 0.289
Ce3 0.289 0.140 0.653
Ce4 0.347 0.711 0.860
Ce5 0.500 0.500 0.500
Ce6 0.653 0.289 0.140
Ce7 0.711 0.860 0.347
Ce8 0.860 0.347 0.711
Bi1 0.040 0.283 0.409
Bi2 0.283 0.409 0.040
Bi3 0.409 0.040 0.283
Bi4 0.591 0.960 0.717
Bi5 0.717 0.591 0.960
Bi6 0.960 0.717 0.591


b | VASP calculation (PBE) on an optimized crystal structure of Ce4Bi3.

Its space group is I-43d (220). Its mass density is 8.7 g cm⁻³.

Cell lengths 8.391, 8.391, 8.391 Å; angles 109.47, 109.47, 109.47 degrees
Fractional coordinates of all 14 atoms:
Ce1 0.000 0.150 0.500
Ce2 0.000 0.650 0.500
Ce3 0.150 0.500 0.000
Ce4 0.350 0.350 0.350
Ce5 0.500 0.000 0.150
Ce6 0.500 0.000 0.650
Ce7 0.650 0.500 0.000
Ce8 0.850 0.850 0.850
Bi1 0.125 0.875 0.250
Bi2 0.250 0.125 0.875
Bi3 0.375 0.625 0.750
Bi4 0.625 0.750 0.375
Bi5 0.750 0.375 0.625
Bi6 0.875 0.250 0.125


Preferred: b; penalty for the next structure: 0.022 eV/atom.


a | VASP calculation (PBE) on an optimized crystal structure of Ce4CoBi2.

Its space group is Cmmm (65). Its mass density is 8.7 g cm⁻³.

Cell lengths 8.516, 8.516, 4.756 Å; angles 90.00, 90.00, 145.19 degrees
Fractional coordinates of all 7 atoms:
Ce1 0.000 0.000 0.000
Ce2 0.180 0.820 0.500
Ce3 0.500 0.500 0.500
Ce4 0.820 0.180 0.500
Co1 0.000 0.000 0.500
Bi1 0.349 0.651 0.000
Bi2 0.651 0.349 0.000


b | VASP calculation (PBE) on an optimized crystal structure of Ce4CoBi2.

Its space group is I4/mmm (139). Its mass density is 8.3 g cm⁻³.

Cell lengths 9.447, 9.447, 9.447 Å; angles 150.17, 150.17, 42.70 degrees
Fractional coordinates of all 7 atoms:
Ce1 0.000 0.500 0.500
Ce2 0.171 0.171 0.000
Ce3 0.500 0.000 0.500
Ce4 0.829 0.829 0.000
Co1 0.000 0.000 0.000
Bi1 0.359 0.359 0.000
Bi2 0.641 0.641 0.000


Preferred: b; penalty for the next structure: 0.021 eV/atom.


a | VASP calculation (PBE) on an optimized crystal structure of Ce6Co2Bi.

Its space group is C2/c (15). Its mass density is 8.7 g cm⁻³.

Cell lengths 8.102, 8.102, 8.184 Å; angles 113.65, 113.65, 89.35 degrees
Fractional coordinates of all 18 atoms:
Ce1 0.101 0.264 0.735
Ce2 0.117 0.619 0.986
Ce3 0.255 0.472 0.488
Ce4 0.264 0.101 0.235
Ce5 0.381 0.883 0.514
Ce6 0.472 0.255 0.988
Ce7 0.528 0.745 0.012
Ce8 0.619 0.117 0.486
Ce9 0.736 0.899 0.765
Ce10 0.745 0.528 0.512
Ce11 0.883 0.381 0.014
Ce12 0.899 0.736 0.265
Co1 0.329 0.414 0.180
Co2 0.414 0.329 0.680
Co3 0.586 0.671 0.320
Co4 0.671 0.586 0.820
Bi1 0.142 0.858 0.750
Bi2 0.858 0.142 0.250


b | VASP calculation (PBE) on an optimized crystal structure of Ce6Co2Bi.

Its space group is C2/m (12). Its mass density is 9.0 g cm⁻³.

Cell lengths 5.895, 5.895, 8.814 Å; angles 91.00, 91.00, 44.75 degrees
Fractional coordinates of all 9 atoms:
Ce1 0.085 0.085 0.176
Ce2 0.217 0.217 0.615
Ce3 0.407 0.407 0.137
Ce4 0.593 0.593 0.863
Ce5 0.783 0.783 0.385
Ce6 0.915 0.915 0.824
Co1 0.248 0.248 0.893
Co2 0.752 0.752 0.107
Bi1 0.500 0.500 0.500


Preferred: b; penalty for the next structure: 0.097 eV/atom.


a | VASP calculation (PBE) on an optimized crystal structure of Ce2CoBi.

Its space group is R-3m (166). Its mass density is 8.6 g cm⁻³.

Cell lengths 7.885, 7.885, 7.885 Å; angles 29.52, 29.52, 29.52 degrees
Fractional coordinates of all 4 atoms:
Ce1 0.233 0.233 0.233
Ce2 0.767 0.767 0.767
Co1 0.500 0.500 0.500
Bi1 0.000 0.000 0.000


b | VASP calculation (PBE) on an optimized crystal structure of Ce2CoBi.

Its space group is Cmmm (65). Its mass density is 8.8 g cm⁻³.

Cell lengths 9.298, 9.298, 4.599 Å; angles 90.00, 90.00, 148.51 degrees
Fractional coordinates of all 8 atoms:
Ce1 0.000 0.000 0.000
Ce2 0.194 0.806 0.500
Ce3 0.500 0.500 0.500
Ce4 0.806 0.194 0.500
Co1 0.070 0.930 0.500
Co2 0.930 0.070 0.500
Bi1 0.352 0.648 0.000
Bi2 0.648 0.352 0.000


c | VASP calculation (PBE) on an optimized crystal structure of Ce2CoBi.

Its space group is P2_1/m (11). Its mass density is 8.9 g cm⁻³.

Cell lengths 6.396, 3.960, 8.586 Å; angles 90.00, 109.62, 90.00 degrees
Fractional coordinates of all 8 atoms:
Ce1 0.151 0.250 0.379
Ce2 0.245 0.750 0.037
Ce3 0.755 0.250 0.963
Ce4 0.849 0.750 0.621
Co1 0.116 0.250 0.799
Co2 0.884 0.750 0.201
Bi1 0.380 0.750 0.700
Bi2 0.620 0.250 0.300


Preferred: c; penalty for the next structure: 0.078 eV/atom.


a | VASP calculation (PBE) on an optimized crystal structure of CeDy2Bi.

Its space group is R-3m (166). Its mass density is 9.2 g cm⁻³.

Cell lengths 11.089, 11.089, 11.089 Å; angles 18.61, 18.61, 18.61 degrees
Fractional coordinates of all 4 atoms:
Ce1 0.000 0.000 0.000
Dy1 0.247 0.247 0.247
Dy2 0.753 0.753 0.753
Bi1 0.500 0.500 0.500


b | VASP calculation (PBE) on an optimized crystal structure of CeDy2Bi.

Its space group is R3m (160). Its mass density is 9.1 g cm⁻³.

Cell lengths 11.163, 11.163, 11.163 Å; angles 18.54, 18.54, 18.54 degrees
Fractional coordinates of all 4 atoms:
Ce1 0.000 0.000 0.000
Dy1 0.246 0.246 0.246
Dy2 0.420 0.420 0.420
Bi1 0.833 0.833 0.833


c | VASP calculation (PBE) on an optimized crystal structure of CeDy2Bi.

Its space group is P4/mmm (123). Its mass density is 9.8 g cm⁻³.

Cell lengths 4.932, 4.932, 4.707 Å; angles 90.00, 90.00, 90.00 degrees
Fractional coordinates of all 4 atoms:
Ce1 0.000 0.000 0.000
Dy1 0.000 0.500 0.500
Dy2 0.500 0.000 0.500
Bi1 0.500 0.500 0.000


Preferred: c; penalty for the next structure: 0.173 eV/atom.


a | VASP calculation (PBE) on an optimized crystal structure of CeDyBi2.

Its space group is R3m (160). Its mass density is 8.8 g cm⁻³.

Cell lengths 8.132, 8.132, 8.132 Å; angles 32.15, 32.15, 32.15 degrees
Fractional coordinates of all 4 atoms:
Ce1 0.000 0.000 0.000
Dy1 0.829 0.829 0.829
Bi1 0.415 0.415 0.415
Bi2 0.580 0.580 0.580


b | VASP calculation (PBE) on an optimized crystal structure of CeDyBi2.

Its space group is R-3m (166). Its mass density is 9.0 g cm⁻³.

Cell lengths 7.855, 7.855, 7.855 Å; angles 33.61, 33.61, 33.61 degrees
Fractional coordinates of all 4 atoms:
Ce1 0.000 0.000 0.000
Dy1 0.500 0.500 0.500
Bi1 0.248 0.248 0.248
Bi2 0.752 0.752 0.752


c | VASP calculation (PBE) on an optimized crystal structure of CeDyBi2.

Its space group is Cmcm (63). Its mass density is 9.2 g cm⁻³.

Cell lengths 12.735, 12.735, 4.682 Å; angles 90.00, 90.00, 160.03 degrees
Fractional coordinates of all 8 atoms:
Ce1 0.060 0.940 0.750
Ce2 0.940 0.060 0.250
Dy1 0.313 0.687 0.750
Dy2 0.687 0.313 0.250
Bi1 0.188 0.812 0.750
Bi2 0.441 0.559 0.750
Bi3 0.559 0.441 0.250
Bi4 0.812 0.188 0.250


Preferred: b; penalty for the next structure: 0.066 eV/atom.


a | VASP calculation (PBE) on an optimized crystal structure of CeErBi2.

Its space group is R-3m (166). Its mass density is 9.2 g cm⁻³.

Cell lengths 7.825, 7.825, 7.825 Å; angles 33.65, 33.65, 33.65 degrees
Fractional coordinates of all 4 atoms:
Ce1 0.000 0.000 0.000
Er1 0.500 0.500 0.500
Bi1 0.247 0.247 0.247
Bi2 0.753 0.753 0.753


b | VASP calculation (PBE) on an optimized crystal structure of CeErBi2.

Its space group is R3m (160). Its mass density is 9.0 g cm⁻³.

Cell lengths 8.097, 8.097, 8.097 Å; angles 32.23, 32.23, 32.23 degrees
Fractional coordinates of all 4 atoms:
Ce1 0.000 0.000 0.000
Er1 0.171 0.171 0.171
Bi1 0.420 0.420 0.420
Bi2 0.584 0.584 0.584


Preferred: a; penalty for the next structure: 0.112 eV/atom.


a | VASP calculation (PBE) on an optimized crystal structure of CeErBi2.

Its space group is P4/mmm (123). Its mass density is 10.3 g cm⁻³.

Cell lengths 5.865, 5.865, 3.416 Å; angles 90.00, 90.00, 90.00 degrees
Fractional coordinates of all 4 atoms:
Ce1 0.000 0.000 0.000
Er1 0.500 0.500 0.000
Bi1 0.000 0.500 0.500
Bi2 0.500 0.000 0.500


b | VASP calculation (PBE) on an optimized crystal structure of CeErBi2.

Its space group is P2_1/m (11). Its mass density is 9.6 g cm⁻³.

Cell lengths 6.439, 4.868, 8.458 Å; angles 90.00, 108.68, 90.00 degrees
Fractional coordinates of all 8 atoms:
Ce1 0.227 0.250 0.308
Ce2 0.773 0.750 0.692
Er1 0.252 0.250 0.814
Er2 0.748 0.750 0.186
Bi1 0.232 0.750 0.053
Bi2 0.237 0.750 0.566
Bi3 0.763 0.250 0.434
Bi4 0.768 0.250 0.947


Preferred: b; penalty for the next structure: 0.082 eV/atom.


a | VASP calculation (PBE) on an optimized crystal structure of Ce3FeBi.

Its space group is Pm-3m (221). Its mass density is 8.5 g cm⁻³.

Cell lengths 5.112, 5.112, 5.112 Å; angles 90.00, 90.00, 90.00 degrees
Fractional coordinates of all 5 atoms:
Ce1 0.000 0.000 0.500
Ce2 0.000 0.500 0.000
Ce3 0.500 0.000 0.000
Fe1 0.000 0.000 0.000
Bi1 0.500 0.500 0.500


b | VASP calculation (PBE) on an optimized crystal structure of Ce3FeBi.

Its space group is Cmmm (65). Its mass density is 8.8 g cm⁻³.

Cell lengths 8.186, 8.186, 4.739 Å; angles 90.00, 90.00, 125.63 degrees
Fractional coordinates of all 10 atoms:
Ce1 0.000 0.500 0.500
Ce2 0.116 0.884 0.000
Ce3 0.314 0.314 0.500
Ce4 0.500 0.000 0.500
Ce5 0.686 0.686 0.500
Ce6 0.884 0.116 0.000
Fe1 0.103 0.897 0.500
Fe2 0.897 0.103 0.500
Bi1 0.358 0.642 0.000
Bi2 0.642 0.358 0.000


Preferred: b; penalty for the next structure: 0.029 eV/atom.


a | VASP calculation (PBE) on an optimized crystal structure of CeGa2Bi.

Its space group is R-3m (166). Its mass density is 8.0 g cm⁻³.

Cell lengths 5.641, 5.641, 5.641 Å; angles 51.66, 51.66, 51.66 degrees
Fractional coordinates of all 4 atoms:
Ce1 0.000 0.000 0.000
Ga1 0.235 0.235 0.235
Ga2 0.765 0.765 0.765
Bi1 0.500 0.500 0.500


b | VASP calculation (PBE) on an optimized crystal structure of CeGa2Bi.

Its space group is P4/mmm (123). Its mass density is 8.5 g cm⁻³.

Cell lengths 4.614, 4.614, 4.479 Å; angles 90.00, 90.00, 90.00 degrees
Fractional coordinates of all 4 atoms:
Ce1 0.000 0.000 0.000
Ga1 0.000 0.500 0.500
Ga2 0.500 0.000 0.500
Bi1 0.500 0.500 0.000


Preferred: b; penalty for the next structure: 0.254 eV/atom.